The following is a PBE calculation of a relaxed Te2W crystal, from OQMD.

Computed properties:
The value obtained for the electronic total energy is -19.5 eV per formula unit. For the size of the total moment, the calculation gives 0.0 μB per cell. The space-group type is P-6m2 (187).

Cell and atoms, written as POSCAR:
```
Te2W
1.0
3.5564 0.0000 0.0000
-1.7782 3.0800 0.0000
0.0000 0.0000 29.6849
Te W
8 4
Cartesian
0.0000 0.0000 1.8199
0.0000 0.0000 27.8650
0.0000 2.0533 5.5738
0.0000 2.0533 9.2125
0.0000 2.0533 20.4724
0.0000 2.0533 24.1111
1.7782 1.0267 13.0237
1.7782 1.0267 16.6612
0.0000 0.0000 7.3942
0.0000 0.0000 14.8425
0.0000 0.0000 22.2907
1.7782 1.0267 0.0000
```


The following is a PBE calculation of a relaxed FeSiGe crystal, from OQMD.

Computed properties:
The value obtained for the electronic total energy is -17.3 eV per formula unit. For the size of the total moment, the calculation gives 1.8 μB per cell. The space-group type is F-43m (216).

Cell and atoms, written as POSCAR:
```
FeSiGe
1.0
0.0000 2.8386 2.8386
2.8386 0.0000 2.8386
2.8386 2.8386 0.0000
Fe Si Ge
1 1 1
Cartesian
0.0000 0.0000 0.0000
1.4193 1.4193 1.4193
2.8386 2.8386 2.8386
```


The following is a PBE calculation of a relaxed SrFePb2 crystal, from OQMD.

Computed properties:
The value obtained for the electronic total energy is -15.9 eV per formula unit. For the size of the total moment, the calculation gives 2.5 μB per cell. The space-group type is F-43m (216).

Cell and atoms, written as POSCAR:
```
SrFePb2
1.0
0.0000 3.7504 3.7504
3.7504 0.0000 3.7504
3.7504 3.7504 0.0000
Sr Fe Pb
1 1 2
Cartesian
0.0000 0.0000 0.0000
1.8752 1.8752 1.8752
3.7504 3.7504 3.7504
5.6257 5.6257 5.6257
```


The following is a PBE calculation of a relaxed Ac2Sc6Hg crystal, from OQMD.

Computed properties:
The value obtained for the electronic total energy is -42.8 eV per formula unit. For the size of the total moment, the calculation gives 3.1 μB per cell. The space-group type is Pmmm (47).

Cell and atoms, written as POSCAR:
```
Ac2Sc6Hg
1.0
4.1691 0.0000 0.0000
0.0000 4.2038 0.0000
0.0000 0.0000 17.2014
Ac Sc Hg
2 6 1
Cartesian
0.0000 0.0000 3.3214
0.0000 0.0000 13.8800
0.0000 0.0000 0.0000
0.0000 0.0000 8.6007
0.0000 2.1019 6.2532
0.0000 2.1019 10.9482
2.0845 0.0000 6.2536
2.0845 0.0000 10.9478
2.0845 2.1019 8.6007
```


The following is a PBE calculation of a relaxed LuSiHO4 crystal, from OQMD.

Computed properties:
Its distance to the lowest polymorph of the same formula is 0.1276 eV per atom. For the size of the total moment, the calculation gives 0.0 μB per cell. The space-group type is Pnma (62).

Cell and atoms, written as POSCAR:
```
LuSiHO4
1.0
8.8037 0.0000 0.0000
0.0000 6.5139 0.0000
0.0000 0.0000 4.8629
Lu Si H O
4 4 4 16
Cartesian
1.7683 1.6285 0.9100
2.6336 4.8854 3.3415
6.1701 1.6285 1.5214
7.0354 4.8854 3.9529
0.4539 4.8854 1.0076
3.9479 1.6285 3.4390
4.8557 4.8854 1.4239
8.3498 1.6285 3.8553
0.0000 0.0000 2.4314
0.0000 3.2570 2.4314
4.4018 0.0000 0.0000
4.4018 3.2570 0.0000
0.7305 4.8854 4.2835
1.0292 3.5535 1.8233
1.0292 6.2173 1.8233
1.1552 1.6285 3.7053
3.2467 4.8854 1.2738
3.3726 0.2966 4.2548
3.3726 2.9604 4.2548
3.6713 1.6285 1.8521
5.1323 4.8854 3.0108
5.4310 3.5535 0.6081
5.4310 6.2173 0.6081
5.5570 1.6285 3.5891
7.6485 4.8854 1.1576
7.7745 0.2966 3.0395
7.7745 2.9604 3.0395
8.0732 1.6285 0.5793
```


The following is a PBE calculation of a relaxed PmAlSi crystal, from OQMD.

Computed properties:
Its distance to the lowest polymorph of the same formula is 0.4529 eV per atom. For the size of the total moment, the calculation gives 0.0 μB per cell. The space-group type is F-43m (216).

Cell and atoms, written as POSCAR:
```
PmAlSi
1.0
0.0000 3.2507 3.2507
3.2507 0.0000 3.2507
3.2507 3.2507 0.0000
Pm Al Si
1 1 1
Cartesian
0.0000 0.0000 0.0000
3.2507 3.2507 3.2507
4.8760 4.8760 4.8760
```


The following is a PBE calculation of a relaxed Ba2MgTaSe6 crystal, from OQMD.

Computed properties:
The value obtained for the electronic total energy is -50.4 eV per formula unit. For the size of the total moment, the calculation gives 0.0 μB per cell. The space-group type is Fm-3m (225).

Cell and atoms, written as POSCAR:
```
Ba2MgTaSe6
1.0
0.0000 5.1701 5.1701
5.1701 0.0000 5.1701
5.1701 5.1701 0.0000
Ba Mg Ta Se
2 1 1 6
Cartesian
2.5851 2.5851 2.5851
7.7552 7.7552 7.7552
0.0000 0.0000 0.0000
5.1701 5.1701 5.1701
5.1701 5.1701 2.6131
5.1701 2.6131 5.1701
7.7271 5.1701 5.1701
2.6131 5.1701 5.1701
5.1701 7.7271 5.1701
5.1701 5.1701 7.7271
```


The following is a PBE calculation of a relaxed Ba2TlOsS6 crystal, from OQMD.

Computed properties:
Its distance to the lowest polymorph of the same formula is 0.0000 eV per atom. For the size of the total moment, the calculation gives 4.4 μB per cell. The space-group type is P-1 (2).

Cell and atoms, written as POSCAR:
```
Ba2TlOsS6
1.0
6.9314 0.0000 0.0000
-0.0015 7.2216 0.0000
-0.0533 -0.0070 10.1107
Ba Tl Os S
4 2 2 12
Cartesian
0.1697 0.6085 2.5058
3.2682 4.2194 2.5500
3.6085 2.9952 7.5607
6.7069 6.6062 7.6049
-0.0274 3.6073 5.0553
3.4657 0.0000 0.0000
-0.0007 3.6108 0.0000
3.4391 -0.0035 5.0553
0.5272 3.5599 7.8172
1.1910 5.6886 0.3788
1.4498 5.9570 4.6377
1.9869 2.3499 0.4179
2.2459 2.0757 4.6766
2.8563 7.1705 7.3499
4.0204 0.0441 2.7607
4.6308 5.1390 5.4341
4.8898 4.8647 9.6928
5.4269 1.2576 5.4730
5.6857 1.5260 9.7319
6.3495 3.6547 2.2934
```


The following is a PBE calculation of a relaxed TmSiB crystal, from OQMD.

Computed properties:
Its distance to the lowest polymorph of the same formula is 0.0000 eV per atom. For the size of the total moment, the calculation gives 0.0 μB per cell. The space-group type is P-6m2 (187).

Cell and atoms, written as POSCAR:
```
TmSiB
1.0
3.5303 0.0000 0.0000
-1.7652 3.0573 0.0000
0.0000 0.0000 4.0208
Tm Si B
1 1 1
Cartesian
0.0000 0.0000 0.0000
1.7652 1.0191 2.0104
0.0000 2.0382 2.0104
```


The following is a PBE calculation of a relaxed GdNb2Si2P crystal, from OQMD.

Computed properties:
The value obtained for the electronic total energy is -43.0 eV per formula unit. For the size of the total moment, the calculation gives 0.0 μB per cell. The space-group type is P4mm (99).

Cell and atoms, written as POSCAR:
```
GdNb2Si2P
1.0
3.9148 0.0000 0.0000
0.0000 3.9148 0.0000
0.0000 0.0000 7.9203
Gd Nb Si P
1 2 2 1
Cartesian
0.0000 0.0000 0.0000
0.0000 1.9574 2.8885
1.9574 0.0000 2.8885
0.0000 0.0000 4.8978
1.9574 1.9574 1.0107
1.9574 1.9574 4.8599
```


The following is a PBE calculation of a relaxed OsAuF6 crystal, from OQMD.

Computed properties:
The value obtained for the electronic total energy is -36.4 eV per formula unit. For the size of the total moment, the calculation gives 12.0 μB per cell. The space-group type is Ia-3 (206).

Cell and atoms, written as POSCAR:
```
OsAuF6
1.0
-4.6683 4.6683 4.6683
4.6683 -4.6683 4.6683
4.6683 4.6683 -4.6683
Os Au F
4 4 24
Cartesian
2.3342 2.3342 -2.3342
2.3342 -2.3342 2.3342
-2.3342 2.3342 2.3342
2.3342 2.3342 2.3342
0.0000 0.0000 0.0000
4.6683 0.0000 0.0000
0.0000 4.6683 0.0000
0.0000 0.0000 4.6683
7.5247 -0.8231 1.2785
5.4915 3.3899 -2.8564
5.9468 1.8119 -0.8231
5.4915 -1.2785 2.8564
3.3899 2.8564 -0.8231
2.8564 0.8231 1.2785
2.8564 -0.8231 3.3899
3.3899 -2.8564 5.4915
5.4915 1.2785 1.8119
1.2785 2.8564 0.8231
0.8231 1.2785 2.8564
2.8564 5.4915 -1.2785
1.8119 -0.8231 5.9468
3.8452 3.3899 1.8119
3.3899 1.8119 3.8452
-0.8231 3.3899 2.8564
1.2785 7.5247 -0.8231
1.8119 5.4915 1.2785
1.8119 3.8452 3.3899
1.2785 1.8119 5.4915
-0.8231 5.9468 1.8119
-1.2785 2.8564 5.4915
-0.8231 1.2785 7.5247
-2.8564 5.4915 3.3899
```


The following is a PBE calculation of a relaxed CsTe3MoAu crystal, from OQMD.

Computed properties:
The value obtained for the electronic total energy is -25.8 eV per formula unit. For the size of the total moment, the calculation gives 4.3 μB per cell. The space-group type is Cmcm (63).

Cell and atoms, written as POSCAR:
```
CsTe3MoAu
1.0
2.0779 -8.6236 0.0000
2.0779 8.6236 0.0000
0.0000 0.0000 10.9217
Cs Te Mo Au
2 6 2 2
Cartesian
2.0779 4.5372 8.1913
2.0779 -4.5372 2.7304
2.0779 7.5136 2.7304
2.0779 1.9124 0.2918
2.0779 1.9124 5.1690
2.0779 -1.9124 5.7527
2.0779 -1.9124 10.6298
2.0779 -7.5136 8.1913
0.0000 0.0000 0.0000
0.0000 0.0000 5.4608
2.0779 0.7716 2.7304
2.0779 -0.7716 8.1913
```


The following is a PBE calculation of a relaxed CsNbO3 crystal, from OQMD.

Computed properties:
The value obtained for the electronic total energy is -37.4 eV per formula unit. For the size of the total moment, the calculation gives 0.0 μB per cell. The space-group type is Pnma (62).

Cell and atoms, written as POSCAR:
```
CsNbO3
1.0
6.0015 0.0000 0.0000
0.0000 11.5632 0.0000
0.0000 0.0000 6.2807
Cs Nb O
4 4 12
Cartesian
0.0000 0.0000 0.0000
0.0000 5.7816 0.0000
3.0007 0.0000 3.1404
3.0007 5.7816 3.1404
0.0053 2.8908 2.7146
2.9955 8.6724 5.8549
3.0060 2.8908 0.4258
5.9962 8.6724 3.5662
0.3302 1.4233 3.7046
0.3302 4.3583 3.7046
1.1662 2.8908 1.1312
1.8346 8.6724 4.2715
2.6705 7.2049 0.5642
2.6705 10.1399 0.5642
3.3309 1.4233 5.7165
3.3309 4.3583 5.7165
4.1669 2.8908 2.0092
4.8353 8.6724 5.1495
5.6713 7.2049 2.5762
5.6713 10.1399 2.5762
```


The following is a PBE calculation of a relaxed Sr2HfGa crystal, from OQMD.

Computed properties:
The value obtained for the electronic total energy is -14.6 eV per formula unit. For the size of the total moment, the calculation gives 0.0 μB per cell. The space-group type is F-43m (216).

Cell and atoms, written as POSCAR:
```
Sr2HfGa
1.0
0.0000 3.8683 3.8683
3.8683 0.0000 3.8683
3.8683 3.8683 0.0000
Sr Hf Ga
2 1 1
Cartesian
0.0000 0.0000 0.0000
1.9342 1.9342 1.9342
5.8025 5.8025 5.8025
3.8683 3.8683 3.8683
```


The following is a PBE calculation of a relaxed ZrGaSnS3 crystal, from OQMD.

Computed properties:
The value obtained for the electronic total energy is -31.7 eV per formula unit. For the size of the total moment, the calculation gives 0.0 μB per cell. The space-group type is Cmcm (63).

Cell and atoms, written as POSCAR:
```
ZrGaSnS3
1.0
1.8498 -7.4207 0.0000
1.8498 7.4207 0.0000
0.0000 0.0000 9.3657
Zr Ga Sn S
2 2 2 6
Cartesian
0.0000 0.0000 0.0000
0.0000 0.0000 4.6829
1.8498 0.7191 7.0243
1.8498 -0.7191 2.3414
1.8498 3.3378 2.3414
1.8498 -3.3378 7.0243
1.8498 6.0516 7.0243
1.8498 1.9262 4.9531
1.8498 1.9262 9.0955
1.8498 -1.9262 0.2702
1.8498 -1.9262 4.4126
1.8498 -6.0516 2.3414
```


The following is a PBE calculation of a relaxed TbHfCd crystal, from OQMD.

Computed properties:
The value obtained for the electronic total energy is -13.2 eV per formula unit. For the size of the total moment, the calculation gives 1.0 μB per cell. The space-group type is F-43m (216).

Cell and atoms, written as POSCAR:
```
TbHfCd
1.0
0.0000 3.4987 3.4987
3.4987 0.0000 3.4987
3.4987 3.4987 0.0000
Tb Hf Cd
1 1 1
Cartesian
0.0000 0.0000 0.0000
5.2481 5.2481 5.2481
3.4987 3.4987 3.4987
```


The following is a PBE calculation of a relaxed Li4SmNbO6 crystal, from OQMD.

Computed properties:
The value obtained for the electronic total energy is -81.6 eV per formula unit. For the size of the total moment, the calculation gives 0.0 μB per cell. The space-group type is C2 (5).

Cell and atoms, written as POSCAR:
```
Li4SmNbO6
1.0
2.7398 -4.7944 0.0000
2.7398 4.7944 0.0000
-1.7455 0.0000 4.9129
Li Sm Nb O
4 1 1 6
Cartesian
0.0000 0.0000 0.0000
2.7398 1.0784 0.0000
2.7398 -1.8774 0.0000
1.8670 -3.4625 2.4565
1.8670 2.9343 2.4565
1.8670 -0.2601 2.4565
1.0168 1.1914 1.2632
0.2069 -0.1937 3.5931
1.0877 -1.6820 1.2764
2.7172 1.1914 3.6497
3.5271 -0.1937 1.3198
2.6463 -1.6820 3.6366
```


The following is a PBE calculation of a relaxed Tb2GdAl3CuNi2 crystal, from OQMD.

Computed properties:
The value obtained for the electronic total energy is -44.8 eV per formula unit. For the size of the total moment, the calculation gives 0.0 μB per cell. The space-group type is Amm2 (38).

Cell and atoms, written as POSCAR:
```
Tb2GdAl3CuNi2
1.0
3.9544 0.0000 0.0000
0.0000 6.0536 3.4986
0.0000 -6.0536 3.4986
Tb Gd Al Cu Ni
2 1 3 1 2
Cartesian
0.0000 -3.5203 3.4986
0.0000 3.5203 3.4986
0.0000 0.0000 2.6044
1.9772 0.0000 0.2050
1.9772 -1.4487 4.7018
1.9772 1.4487 4.7018
0.0000 0.0000 5.5379
1.9772 -2.0249 2.0342
1.9772 2.0249 2.0342
```


The following is a PBE calculation of a relaxed Cu9Ag crystal, from OQMD.

Computed properties:
Its distance to the lowest polymorph of the same formula is 0.0082 eV per atom. The space-group type is P-1 (2).

Cell and atoms, written as POSCAR:
```
Cu9Ag
1.0
4.4606 0.0000 0.0000
-0.0116 6.8378 0.0000
-1.4960 -1.0068 7.9961
Cu Ag
18 2
Cartesian
0.0000 0.0000 0.0000
-0.8317 2.4662 5.2248
0.0252 5.8361 2.2827
-0.7567 1.4497 7.5849
-0.0005 4.7878 4.8982
0.7567 1.4650 1.9146
-0.0366 3.8745 7.2343
1.5006 3.8526 1.5516
0.7149 -0.5253 6.8524
1.4765 2.9155 3.9980
2.2382 6.3562 1.1437
1.4525 1.9783 6.4445
2.9897 1.9564 0.7618
2.1964 4.3659 6.0815
2.9536 1.0431 3.0979
3.7098 4.3812 0.4112
2.9279 -0.0052 5.7134
3.7848 3.3647 2.7713
0.6638 0.4935 4.4074
2.2893 5.3375 3.5887
```


The following is a PBE calculation of a relaxed PrGdGe crystal, from OQMD.

Computed properties:
The value obtained for the electronic total energy is -13.2 eV per formula unit. For the size of the total moment, the calculation gives 1.1 μB per cell. The space-group type is F-43m (216).

Cell and atoms, written as POSCAR:
```
PrGdGe
1.0
0.0000 3.5539 3.5539
3.5539 0.0000 3.5539
3.5539 3.5539 0.0000
Pr Gd Ge
1 1 1
Cartesian
0.0000 0.0000 0.0000
5.3309 5.3309 5.3309
3.5539 3.5539 3.5539
```